(1)
The following is a DFT calculation (PBE-GGA) of a geometry-optimized Zr7Bi2Sb2 structure.

```
data_Zr7Bi2Sb2
_space_group_name_H-M_alt 'C 1 2/m 1'
_space_group_IT_number 12
_space_group_name_Hall '-C 2y'
_cell_length_a 10.4826
_cell_length_b 8.8846
_cell_length_c 6.2487
_cell_angle_alpha 90.00
_cell_angle_beta 102.18
_cell_angle_gamma 90.00
loop_
_atom_site_label
_atom_site_type_symbol
_atom_site_fract_x
_atom_site_fract_y
_atom_site_fract_z
Zr1 Zr 0.0000 0.0000 0.0000
Zr2 Zr 0.0093 0.5000 0.2683
Zr3 Zr 0.2385 0.1977 0.2631
Bi1 Bi 0.0000 0.1904 0.5000
Sb1 Sb 0.2349 0.5000 0.0886
```

Calculated values
- Total moment: 0.07 μB per atom
- Fermi-level density of states: 23.87 states/eV/cell
- Formation energy without anion corrections: -131 meV/atom

(2)
The following is a DFT calculation (PBE-GGA) of a geometry-optimized BeRu2Au structure.

```
data_BeRu2Au
_space_group_name_H-M_alt 'A m m 2'
_space_group_IT_number 38
_space_group_name_Hall 'A 2 -2'
_cell_length_a 3.7405
_cell_length_b 2.7705
_cell_length_c 10.7822
_cell_angle_alpha 90.00
_cell_angle_beta 90.00
_cell_angle_gamma 90.00
loop_
_atom_site_label
_atom_site_type_symbol
_atom_site_fract_x
_atom_site_fract_y
_atom_site_fract_z
Be1 Be 0.0000 0.0000 0.0000
Ru1 Ru 0.0000 0.0000 0.2092
Ru2 Ru 0.5000 0.0000 0.5999
Au1 Au 0.5000 0.0000 0.8656
```

Calculated values
- Total moment: 0.00 μB per atom
- Fermi-level density of states: 4.48 states/eV/cell
- Formation energy from the elements: 0.10 eV per atom

(3)
The following is a DFT calculation (PBE-GGA) of a geometry-optimized LiGe2F8 structure.

```
data_LiGe2F8
_space_group_name_H-M_alt 'C 1 2/m 1'
_space_group_IT_number 12
_space_group_name_Hall '-C 2y'
_cell_length_a 8.2635
_cell_length_b 6.4236
_cell_length_c 5.0897
_cell_angle_alpha 90.00
_cell_angle_beta 98.60
_cell_angle_gamma 90.00
loop_
_atom_site_label
_atom_site_type_symbol
_atom_site_fract_x
_atom_site_fract_y
_atom_site_fract_z
Li1 Li 0.0000 0.0000 0.0000
Ge1 Ge 0.2003 0.5000 0.4572
F1 F 0.0653 0.5000 0.7269
F2 F 0.1419 0.1937 0.3359
F3 F 0.1862 0.0000 0.8208
```

Calculated values
- Total moment: 0.00 μB per atom
- Fermi-level density of states: 2.50 states/eV/cell
- Formation energy without anion corrections: -2257 meV/atom
- Energy above the most stable polymorph in this dataset: 45 meV/atom

(4)
The following is a DFT calculation (PBE-GGA) of a geometry-optimized AcTbDyY3 structure.

```
data_AcTbDyY3
_space_group_name_H-M_alt 'C 1 2/m 1'
_space_group_IT_number 12
_space_group_name_Hall '-C 2y'
_cell_length_a 23.0677
_cell_length_b 5.4227
_cell_length_c 7.0324
_cell_angle_alpha 90.00
_cell_angle_beta 98.26
_cell_angle_gamma 90.00
loop_
_atom_site_label
_atom_site_type_symbol
_atom_site_fract_x
_atom_site_fract_y
_atom_site_fract_z
Ac1 Ac 0.1272 0.0000 0.4807
Tb1 Tb 0.1672 0.0000 0.0255
Dy1 Dy 0.0747 0.5000 0.1170
Y1 Y 0.0225 0.0000 0.7835
Y2 Y 0.1788 0.5000 0.7849
Y3 Y 0.2249 0.5000 0.3116
```

Calculated values
- Total moment: 0.00 μB per atom
- Fermi-level density of states: 42.11 states/eV/cell
- Formation energy from the elements: 0.22 eV per atom

(5)
The following is a DFT calculation (PBE-GGA) of a geometry-optimized BeNi2Pt structure.

```
data_BeNi2Pt
_space_group_name_H-M_alt 'I m m 2'
_space_group_IT_number 44
_space_group_name_Hall 'I 2 -2'
_cell_length_a 2.7536
_cell_length_b 4.1414
_cell_length_c 8.0197
_cell_angle_alpha 90.00
_cell_angle_beta 90.00
_cell_angle_gamma 90.00
loop_
_atom_site_label
_atom_site_type_symbol
_atom_site_fract_x
_atom_site_fract_y
_atom_site_fract_z
Be1 Be 0.0000 0.0000 0.0000
Ni1 Ni 0.0000 0.0000 0.4874
Ni2 Ni 0.0000 0.5000 0.7151
Pt1 Pt 0.0000 0.5000 0.2684
```

Calculated values
- Total moment: 0.03 μB per atom
- Fermi-level density of states: 11.53 states/eV/cell
- Formation energy from the elements: -0.24 eV per atom

(6)
The following is a DFT calculation (PBE-GGA) of a geometry-optimized NaZn2CdF7 structure.

```
data_NaZn2CdF7
_space_group_name_H-M_alt 'I m m a'
_space_group_IT_number 74
_space_group_name_Hall '-I 2b 2'
_cell_length_a 7.3547
_cell_length_b 7.4714
_cell_length_c 10.5226
_cell_angle_alpha 90.00
_cell_angle_beta 90.00
_cell_angle_gamma 90.00
loop_
_atom_site_label
_atom_site_type_symbol
_atom_site_fract_x
_atom_site_fract_y
_atom_site_fract_z
Na1 Na 0.2500 0.2500 0.2500
Zn1 Zn 0.0000 0.0000 0.0000
Zn2 Zn 0.2500 0.2500 0.7500
Cd1 Cd 0.0000 0.0000 0.5000
F1 F 0.0000 0.2500 0.0766
F2 F 0.0000 0.2500 0.3848
F3 F 0.0000 0.2500 0.6645
F4 F 0.2160 0.0442 0.8774
```

Calculated values
- Total moment: 0.00 μB per atom
- Fermi-level density of states: 0.00 states/eV/cell
- Formation energy without anion corrections: -2371 meV/atom

(7)
The following is a DFT calculation (PBE-GGA) of a geometry-optimized Tb2ThTi structure.

```
data_Tb2ThTi
_space_group_name_H-M_alt 'R -3 m'
_space_group_IT_number 166
_space_group_name_Hall '-R 3 2"'
_cell_length_a 5.4486
_cell_length_b 5.4486
_cell_length_c 13.3139
_cell_angle_alpha 90.00
_cell_angle_beta 90.00
_cell_angle_gamma 120.00
loop_
_atom_site_label
_atom_site_type_symbol
_atom_site_fract_x
_atom_site_fract_y
_atom_site_fract_z
Tb1 Tb 0.0000 0.0000 0.2495
Th1 Th 0.0000 0.0000 0.5000
Ti1 Ti 0.0000 0.0000 0.0000
```

Calculated values
- Total moment: 0.61 μB per atom
- Fermi-level density of states: 28.81 states/eV/cell
- Formation energy from the elements: 0.36 eV per atom

(8)
The following is a DFT calculation (PBE-GGA) of a geometry-optimized NpCdBO6 structure.

```
data_NpCdBO6
_space_group_name_H-M_alt 'P -3 1 c'
_space_group_IT_number 163
_space_group_name_Hall '-P 3 2c'
_cell_length_a 4.9992
_cell_length_b 4.9992
_cell_length_c 9.7714
_cell_angle_alpha 90.00
_cell_angle_beta 90.00
_cell_angle_gamma 120.00
loop_
_atom_site_label
_atom_site_type_symbol
_atom_site_fract_x
_atom_site_fract_y
_atom_site_fract_z
Np1 Np 0.3333 0.6667 0.2500
Cd1 Cd 0.0000 0.0000 0.0000
B1 B 0.3333 0.6667 0.7500
O1 O 0.0440 0.3880 0.6474
```

Calculated values
- Total moment: 0.00 μB per atom
- Formation energy without anion corrections: -1690 meV/atom